## P
# AlCd2Ga2 (PBE-GGA, relaxed)
data_AlCd2Ga2
_chemical_formula_sum 'Al1 Cd2 Ga2'
_cell_length_a 2.9831
_cell_length_b 2.9831
_cell_length_c 13.0891
_cell_angle_alpha 83.46
_cell_angle_beta 83.46
_cell_angle_gamma 60.00
_symmetry_space_group_name_H-M 'P 1'
_symmetry_Int_Tables_number 1
_symmetry_space_group_name_Hall 'P 1'
loop_
_atom_site_label
_atom_site_type_symbol
_atom_site_fract_x
_atom_site_fract_y
_atom_site_fract_z
Al1 Al 0.0000 0.0000 0.0000
Cd1 Cd 0.8701 0.8701 0.3896
Cd2 Cd 0.1299 0.1299 0.6104
Ga1 Ga 0.3938 0.3938 0.8185
Ga2 Ga 0.6062 0.6062 0.1815
# **Size of the total moment**: 0.00 μB per formula unit
# **Space-group type**: R-3m

=====

## Q
# AlCd2Ga2 (PBE-GGA, relaxed)
data_AlCd2Ga2
_chemical_formula_sum 'Al1 Cd2 Ga2'
_cell_length_a 4.2250
_cell_length_b 4.2250
_cell_length_c 6.8501
_cell_angle_alpha 107.96
_cell_angle_beta 107.96
_cell_angle_gamma 90.00
_symmetry_space_group_name_H-M 'P 1'
_symmetry_Int_Tables_number 1
_symmetry_space_group_name_Hall 'P 1'
loop_
_atom_site_label
_atom_site_type_symbol
_atom_site_fract_x
_atom_site_fract_y
_atom_site_fract_z
Al1 Al 0.0000 0.0000 0.0000
Cd1 Cd 0.7500 0.2500 0.5000
Cd2 Cd 0.2500 0.7500 0.5000
Ga1 Ga 0.4009 0.4009 0.8018
Ga2 Ga 0.5991 0.5991 0.1982
# **Size of the total moment**: 0.00 μB per formula unit
# **Space-group type**: I4/mmm

=====

Least stable structure: Q

=====

## P
# AlCd2Ga2 (PBE-GGA, relaxed)
data_AlCd2Ga2
_chemical_formula_sum 'Al2 Cd4 Ga4'
_cell_length_a 7.8853
_cell_length_b 7.8853
_cell_length_c 3.4854
_cell_angle_alpha 90.00
_cell_angle_beta 90.00
_cell_angle_gamma 90.00
_symmetry_space_group_name_H-M 'P 1'
_symmetry_Int_Tables_number 1
_symmetry_space_group_name_Hall 'P 1'
loop_
_atom_site_label
_atom_site_type_symbol
_atom_site_fract_x
_atom_site_fract_y
_atom_site_fract_z
Al1 Al 0.0000 0.0000 0.0000
Al2 Al 0.5000 0.5000 0.0000
Ga1 Ga 0.1685 0.6685 0.5000
Ga2 Ga 0.6685 0.8315 0.5000
Ga3 Ga 0.8315 0.3315 0.5000
Ga4 Ga 0.3315 0.1685 0.5000
Cd1 Cd 0.3653 0.8653 0.0000
Cd2 Cd 0.8653 0.6347 0.0000
Cd3 Cd 0.6347 0.1347 0.0000
Cd4 Cd 0.1347 0.3653 0.0000
# **Size of the total moment**: 0.00 μB per formula unit
# **Space-group type**: P4/mbm

=====

## Q
# AlCd2Ga2 (PBE-GGA, relaxed)
data_AlCd2Ga2
_chemical_formula_sum 'Al2 Cd4 Ga4'
_cell_length_a 6.8713
_cell_length_b 6.8713
_cell_length_c 4.4768
_cell_angle_alpha 90.00
_cell_angle_beta 90.00
_cell_angle_gamma 90.00
_symmetry_space_group_name_H-M 'P 1'
_symmetry_Int_Tables_number 1
_symmetry_space_group_name_Hall 'P 1'
loop_
_atom_site_label
_atom_site_type_symbol
_atom_site_fract_x
_atom_site_fract_y
_atom_site_fract_z
Al1 Al 0.0000 0.0000 0.0000
Al2 Al 0.5000 0.5000 0.0000
Ga1 Ga 0.3646 0.8646 0.0000
Ga2 Ga 0.8646 0.6354 0.0000
Ga3 Ga 0.6354 0.1354 0.0000
Ga4 Ga 0.1354 0.3646 0.0000
Cd1 Cd 0.1762 0.6762 0.5000
Cd2 Cd 0.6762 0.8238 0.5000
Cd3 Cd 0.8238 0.3238 0.5000
Cd4 Cd 0.3238 0.1762 0.5000
# **Size of the total moment**: 0.00 μB per formula unit
# **Space-group type**: P4/mbm

=====

Least stable structure: P

=====

## P
# AlCdGa3 (PBE-GGA, relaxed)
data_AlCdGa3
_chemical_formula_sum 'Al1 Cd1 Ga3'
_cell_length_a 5.1477
_cell_length_b 5.1477
_cell_length_c 5.1477
_cell_angle_alpha 90.00
_cell_angle_beta 90.00
_cell_angle_gamma 90.00
_symmetry_space_group_name_H-M 'P 1'
_symmetry_Int_Tables_number 1
_symmetry_space_group_name_Hall 'P 1'
loop_
_atom_site_label
_atom_site_type_symbol
_atom_site_fract_x
_atom_site_fract_y
_atom_site_fract_z
Al1 Al 0.5000 0.5000 0.5000
Ga1 Ga 0.0000 0.5000 0.0000
Ga2 Ga 0.0000 0.0000 0.5000
Ga3 Ga 0.5000 0.0000 0.0000
Cd1 Cd 0.0000 0.0000 0.0000
# **Size of the total moment**: 0.00 μB per formula unit
# **Space-group type**: Pm-3m

=====

## Q
# AlCdGa3 (PBE-GGA, relaxed)
data_AlCdGa3
_chemical_formula_sum 'Al1 Cd1 Ga3'
_cell_length_a 4.9994
_cell_length_b 4.9994
_cell_length_c 4.9994
_cell_angle_alpha 90.00
_cell_angle_beta 90.00
_cell_angle_gamma 90.00
_symmetry_space_group_name_H-M 'P 1'
_symmetry_Int_Tables_number 1
_symmetry_space_group_name_Hall 'P 1'
loop_
_atom_site_label
_atom_site_type_symbol
_atom_site_fract_x
_atom_site_fract_y
_atom_site_fract_z
Al1 Al 0.0000 0.0000 0.0000
Ga1 Ga 0.0000 0.5000 0.0000
Ga2 Ga 0.0000 0.0000 0.5000
Ga3 Ga 0.5000 0.0000 0.0000
Cd1 Cd 0.5000 0.5000 0.5000
# **Size of the total moment**: 0.00 μB per formula unit
# **Space-group type**: Pm-3m

=====

Least stable structure: P

=====

## P
# Al2Cd2Ga (PBE-GGA, relaxed)
data_Al2Cd2Ga
_chemical_formula_sum 'Al2 Cd2 Ga1'
_cell_length_a 3.9867
_cell_length_b 3.9867
_cell_length_c 7.4455
_cell_angle_alpha 74.47
_cell_angle_beta 74.47
_cell_angle_gamma 90.00
_symmetry_space_group_name_H-M 'P 1'
_symmetry_Int_Tables_number 1
_symmetry_space_group_name_Hall 'P 1'
loop_
_atom_site_label
_atom_site_type_symbol
_atom_site_fract_x
_atom_site_fract_y
_atom_site_fract_z
Al1 Al 0.7500 0.2500 0.5000
Al2 Al 0.2500 0.7500 0.5000
Ga1 Ga 0.0000 0.0000 0.0000
Cd1 Cd 0.3979 0.3979 0.2042
Cd2 Cd 0.6021 0.6021 0.7958
# **Size of the total moment**: 0.00 μB per formula unit
# **Space-group type**: I4/mmm

=====

## Q
# Al2Cd2Ga (PBE-GGA, relaxed)
data_Al2Cd2Ga
_chemical_formula_sum 'Al4 Cd4 Ga2'
_cell_length_a 8.5916
_cell_length_b 8.5916
_cell_length_c 2.8667
_cell_angle_alpha 90.00
_cell_angle_beta 90.00
_cell_angle_gamma 90.00
_symmetry_space_group_name_H-M 'P 1'
_symmetry_Int_Tables_number 1
_symmetry_space_group_name_Hall 'P 1'
loop_
_atom_site_label
_atom_site_type_symbol
_atom_site_fract_x
_atom_site_fract_y
_atom_site_fract_z
Al1 Al 0.1200 0.6200 0.5000
Al2 Al 0.6200 0.8800 0.5000
Al3 Al 0.8800 0.3800 0.5000
Al4 Al 0.3800 0.1200 0.5000
Ga1 Ga 0.0000 0.0000 0.0000
Ga2 Ga 0.5000 0.5000 0.0000
Cd1 Cd 0.3229 0.8229 0.0000
Cd2 Cd 0.8229 0.6771 0.0000
Cd3 Cd 0.6771 0.1771 0.0000
Cd4 Cd 0.1771 0.3229 0.0000
# **Size of the total moment**: 0.00 μB per formula unit
# **Space-group type**: P4/mbm

=====

Least stable structure: P

=====

## P
# Al2Cd2Ga (PBE-GGA, relaxed)
data_Al2Cd2Ga
_chemical_formula_sum 'Al4 Cd4 Ga2'
_cell_length_a 8.4786
_cell_length_b 8.4786
_cell_length_c 2.9322
_cell_angle_alpha 90.00
_cell_angle_beta 90.00
_cell_angle_gamma 90.00
_symmetry_space_group_name_H-M 'P 1'
_symmetry_Int_Tables_number 1
_symmetry_space_group_name_Hall 'P 1'
loop_
_atom_site_label
_atom_site_type_symbol
_atom_site_fract_x
_atom_site_fract_y
_atom_site_fract_z
Al1 Al 0.3848 0.8848 0.0000
Al2 Al 0.8848 0.6152 0.0000
Al3 Al 0.6152 0.1152 0.0000
Al4 Al 0.1152 0.3848 0.0000
Ga1 Ga 0.0000 0.0000 0.0000
Ga2 Ga 0.5000 0.5000 0.0000
Cd1 Cd 0.1821 0.6821 0.5000
Cd2 Cd 0.6821 0.8179 0.5000
Cd3 Cd 0.8179 0.3179 0.5000
Cd4 Cd 0.3179 0.1821 0.5000
# **Size of the total moment**: 0.00 μB per formula unit
# **Space-group type**: P4/mbm

=====

## Q
# Al2Cd2Ga (PBE-GGA, relaxed)
data_Al2Cd2Ga
_chemical_formula_sum 'Al2 Cd2 Ga1'
_cell_length_a 4.1952
_cell_length_b 4.1952
_cell_length_c 6.9594
_cell_angle_alpha 72.46
_cell_angle_beta 72.46
_cell_angle_gamma 90.00
_symmetry_space_group_name_H-M 'P 1'
_symmetry_Int_Tables_number 1
_symmetry_space_group_name_Hall 'P 1'
loop_
_atom_site_label
_atom_site_type_symbol
_atom_site_fract_x
_atom_site_fract_y
_atom_site_fract_z
Al1 Al 0.4002 0.4002 0.1995
Al2 Al 0.5998 0.5998 0.8005
Ga1 Ga 0.0000 0.0000 0.0000
Cd1 Cd 0.7500 0.2500 0.5000
Cd2 Cd 0.2500 0.7500 0.5000
# **Size of the total moment**: 0.00 μB per formula unit
# **Space-group type**: I4/mmm

=====

Least stable structure: Q

=====

## P
# Al2CdGa6 (PBE-GGA, relaxed)
data_Al2CdGa6
_chemical_formula_sum 'Al2 Cd1 Ga6'
_cell_length_a 2.8757
_cell_length_b 6.3840
_cell_length_c 10.0358
_cell_angle_alpha 74.49
_cell_angle_beta 81.76
_cell_angle_gamma 76.98
_symmetry_space_group_name_H-M 'P 1'
_symmetry_Int_Tables_number 1
_symmetry_space_group_name_Hall 'P 1'
loop_
_atom_site_label
_atom_site_type_symbol
_atom_site_fract_x
_atom_site_fract_y
_atom_site_fract_z
Al1 Al 0.3463 0.0485 0.2589
Al2 Al 0.6537 0.9515 0.7411
Cd1 Cd 0.0000 0.0000 0.0000
Ga1 Ga 0.7193 0.4355 0.1259
Ga2 Ga 0.2807 0.5645 0.8741
Ga3 Ga 0.3453 0.7648 0.5445
Ga4 Ga 0.0226 0.6457 0.3090
Ga5 Ga 0.9774 0.3543 0.6910
Ga6 Ga 0.6547 0.2352 0.4555
# **Size of the total moment**: 0.00 μB per formula unit
# **Space-group type**: C2/m

=====

## Q
# Al2CdGa6 (PBE-GGA, relaxed)
data_Al2CdGa6
_chemical_formula_sum 'Al2 Cd1 Ga6'
_cell_length_a 2.9628
_cell_length_b 2.9628
_cell_length_c 22.3635
_cell_angle_alpha 90.00
_cell_angle_beta 90.00
_cell_angle_gamma 120.00
_symmetry_space_group_name_H-M 'P 1'
_symmetry_Int_Tables_number 1
_symmetry_space_group_name_Hall 'P 1'
loop_
_atom_site_label
_atom_site_type_symbol
_atom_site_fract_x
_atom_site_fract_y
_atom_site_fract_z
Al1 Al 0.6667 0.3333 0.3364
Al2 Al 0.6667 0.3333 0.6636
Cd1 Cd 0.3333 0.6667 0.0000
Ga1 Ga 0.6667 0.3333 0.8797
Ga2 Ga 0.3333 0.6667 0.4411
Ga3 Ga 0.3333 0.6667 0.7696
Ga4 Ga 0.3333 0.6667 0.2304
Ga5 Ga 0.3333 0.6667 0.5589
Ga6 Ga 0.6667 0.3333 0.1203
# **Size of the total moment**: 0.00 μB per formula unit
# **Space-group type**: P-6m2

=====

Least stable structure: P